First-principles (PBE) data for RbRe3As after structural relaxation, as listed in Alexandria.

Volume (Å³/cell): 106
Relative energy among the computed polymorphs (kcal/mol of atoms): 48.79
Formation energy (eV/atom): 4.19
Space-group type: No. 221
Total DFT energy (no corrections) (eV per atom): -4.406

Cell lengths 4.729, 4.729, 4.729 Å; angles 90.00, 90.00, 90.00 degrees
Atoms (fractional coordinates):
Rb 0.000 0.000 0.000
Re 0.500 0.000 0.000
Re 0.000 0.000 0.500
Re 0.000 0.500 0.000
As 0.500 0.500 0.500

***

First-principles (PBE) data for LaPu5N6 after structural relaxation, as listed in Alexandria.

Volume (Å³/cell): 186
E_form (uncorrected) (meV per atom): -1261
Space-group type: No. 12
Total DFT energy (no corrections) (eV per atom): -11.806

Cell lengths 6.104, 6.104, 6.106 Å; angles 99.61, 99.61, 119.90 degrees
Atoms (fractional coordinates):
N 0.557 0.911 0.736
N 0.443 0.089 0.264
N 0.911 0.557 0.736
N 0.089 0.443 0.264
N 0.726 0.726 0.254
N 0.274 0.274 0.746
La 0.000 0.000 0.000
Pu 0.834 0.166 0.500
Pu 0.333 0.667 0.000
Pu 0.166 0.834 0.500
Pu 0.667 0.333 0.000
Pu 0.500 0.500 0.500

***

First-principles (PBE) data for CaAg2PbF6 after structural relaxation, as listed in Alexandria.

Volume (Å³/cell): 340
E_form (uncorrected) (meV per atom): -2252
Space-group type: No. 14
Total DFT energy (no corrections) (eV per atom): -4.516

Cell lengths 6.104, 6.284, 8.867 Å; angles 90.00, 90.34, 90.00 degrees
Atoms (fractional coordinates):
F 0.366 0.919 0.737
F 0.830 0.803 0.923
F 0.134 0.419 0.763
F 0.634 0.081 0.263
F 0.670 0.303 0.577
F 0.695 0.323 0.927
F 0.305 0.677 0.073
F 0.866 0.581 0.237
F 0.330 0.697 0.423
F 0.195 0.177 0.427
F 0.805 0.823 0.573
F 0.170 0.197 0.077
Ca 0.000 0.500 0.000
Ca 0.500 0.000 0.500
Ag 0.517 0.563 0.751
Ag 0.983 0.063 0.749
Ag 0.017 0.937 0.251
Ag 0.483 0.437 0.249
Pb 0.000 0.500 0.500
Pb 0.500 0.000 0.000

***

First-principles (PBE) data for YAg2W after structural relaxation, as listed in Alexandria.

Volume (Å³/cell): 79
Relative energy among the computed polymorphs (kcal/mol of atoms): 5.18
Formation energy (eV/atom): 0.58
Space-group type: No. 119
Total DFT energy (no corrections) (eV per atom): -5.699

Cell lengths 5.411, 5.411, 5.411 Å; angles 134.46, 134.46, 66.38 degrees
Atoms (fractional coordinates):
Ag 0.000 0.000 0.000
Ag 0.250 0.750 0.500
Y 0.750 0.250 0.500
W 0.500 0.500 0.000

***

Repeat the third record exactly.
First-principles (PBE) data for CaAg2PbF6 after structural relaxation, as listed in Alexandria.

Volume (Å³/cell): 340
E_form (uncorrected) (meV per atom): -2252
Space-group type: No. 14
Total DFT energy (no corrections) (eV per atom): -4.516

Cell lengths 6.104, 6.284, 8.867 Å; angles 90.00, 90.34, 90.00 degrees
Atoms (fractional coordinates):
F 0.366 0.919 0.737
F 0.830 0.803 0.923
F 0.134 0.419 0.763
F 0.634 0.081 0.263
F 0.670 0.303 0.577
F 0.695 0.323 0.927
F 0.305 0.677 0.073
F 0.866 0.581 0.237
F 0.330 0.697 0.423
F 0.195 0.177 0.427
F 0.805 0.823 0.573
F 0.170 0.197 0.077
Ca 0.000 0.500 0.000
Ca 0.500 0.000 0.500
Ag 0.517 0.563 0.751
Ag 0.983 0.063 0.749
Ag 0.017 0.937 0.251
Ag 0.483 0.437 0.249
Pb 0.000 0.500 0.500
Pb 0.500 0.000 0.000

***

- What is the total DFT energy (no corrections) in the third record?
  -4.516 eV per atom

***

- The lowest volume belongs to which entry?
  YAg2W

***

- Which value of total DFT energy (no corrections) does entry 3 give?
  -4.516 eV per atom